This record from Alexandria via LeMat-Bulk describes crystalline ZnPb2N at its relaxed geometry. The functional is PBEsol.

abc: 6.778 6.778 6.778
angles: 90.00 90.00 90.00
Space group Fm-3m (No. 225)
Unique sites:
1 Zn 0.000 0.000 0.000 (multiplicity 4)
2 Pb 0.250 0.250 0.250 (multiplicity 8)
3 N 0.000 0.000 0.500 (multiplicity 4)

Output
ρ = 10.53 g cm⁻³
Raw formation energy = 88.1 kJ/mol of atoms
Electronic total energy = -3.613 eV/atom

This record from Alexandria via LeMat-Bulk describes crystalline PdN at its relaxed geometry. The functional is PBEsol.

abc: 4.362 4.362 4.362
angles: 90.00 90.00 90.00
Space group Fm-3m (No. 225)
Unique sites:
1 Pd 0.000 0.000 0.000 (multiplicity 4)
2 N 0.000 0.000 0.500 (multiplicity 4)

Output
ρ = 9.64 g cm⁻³
Raw formation energy = 92.1 kJ/mol of atoms
Electronic total energy = -6.288 eV/atom

This record from Alexandria via LeMat-Bulk describes crystalline PdPtN3 at its relaxed geometry. The functional is PBEsol.

abc: 3.851 3.851 3.851
angles: 90.00 90.00 90.00
Space group Pm-3m (No. 221)
Unique sites:
1 Pd 0.000 0.000 0.000 (multiplicity 1)
2 Pt 0.500 0.500 0.500 (multiplicity 1)
3 N 0.000 0.000 0.500 (multiplicity 3)

Output
ρ = 9.99 g cm⁻³
Raw formation energy = 214.2 kJ/mol of atoms
Electronic total energy = -5.480 eV/atom

This record from Alexandria via LeMat-Bulk describes crystalline RbSbPdN2 at its relaxed geometry. The functional is PBEsol.

abc: 4.377 4.377 6.560
angles: 90.00 90.00 90.00
Space group P4/mmm (No. 123)
Unique sites:
1 Rb 0.000 0.000 0.000 (multiplicity 1)
2 Sb 0.000 0.000 0.500 (multiplicity 1)
3 Pd 0.500 0.500 0.500 (multiplicity 1)
4 N 0.000 0.500 0.000 (multiplicity 2)

Output
ρ = 4.52 g cm⁻³
Raw formation energy = 257.0 kJ/mol of atoms
Electronic total energy = -3.055 eV/atom

This record from Alexandria via LeMat-Bulk describes crystalline Rb2TiPdN at its relaxed geometry. The functional is PBEsol.

abc: 6.409 6.409 3.737
angles: 90.00 90.00 90.00
Space group P4/mmm (No. 123)
Unique sites:
1 Rb 0.000 0.500 0.000 (multiplicity 2)
2 Ti 0.000 0.000 0.000 (multiplicity 1)
3 Pd 0.500 0.500 0.500 (multiplicity 1)
4 N 0.000 0.000 0.500 (multiplicity 1)

Output
ρ = 3.67 g cm⁻³
Raw formation energy = 55.5 kJ/mol of atoms
Electronic total energy = -4.396 eV/atom

This record from Alexandria via LeMat-Bulk describes crystalline Re3PdN at its relaxed geometry. The functional is PBEsol.

abc: 4.019 4.019 4.019
angles: 90.00 90.00 90.00
Space group Pm-3m (No. 221)
Unique sites:
1 Re 0.000 0.000 0.500 (multiplicity 3)
2 Pd 0.500 0.500 0.500 (multiplicity 1)
3 N 0.000 0.000 0.000 (multiplicity 1)

Output
ρ = 17.37 g cm⁻³
Raw formation energy = 18.0 kJ/mol of atoms
Electronic total energy = -10.709 eV/atom

This record from Alexandria via LeMat-Bulk describes crystalline RePdN2 at its relaxed geometry. The functional is PBEsol.

abc: 2.8172 2.8172 19.4097
angles: 90.00 90.00 120.00
Space group R-3m (No. 166, hexagonal axes)
Unique sites:
1 Re 0.0000 0.0000 0.0000 (multiplicity 3)
2 Pd 0.0000 0.0000 0.5000 (multiplicity 3)
3 N 0.0000 0.0000 0.3985 (multiplicity 6)

Output
ρ = 11.97 g cm⁻³
Raw formation energy = 5.0 kJ/mol of atoms
Electronic total energy = -9.034 eV/atom

This record from Alexandria via LeMat-Bulk describes crystalline RePdSN2 at its relaxed geometry. The functional is PBEsol.

abc: 3.759 3.759 4.994
angles: 90.00 90.00 90.00
Space group P4/mmm (No. 123)
Unique sites:
1 Re 0.000 0.000 0.000 (multiplicity 1)
2 Pd 0.500 0.500 0.500 (multiplicity 1)
3 S 0.000 0.000 0.500 (multiplicity 1)
4 N 0.000 0.500 0.000 (multiplicity 2)

Output
ρ = 8.30 g cm⁻³
Raw formation energy = 49.0 kJ/mol of atoms
Electronic total energy = -7.638 eV/atom

This record from Alexandria via LeMat-Bulk describes crystalline ReSiPd2N at its relaxed geometry. The functional is PBEsol.

abc: 4.065 4.065 3.857
angles: 90.00 90.00 90.00
Space group P4/mmm (No. 123)
Unique sites:
1 Re 0.000 0.000 0.000 (multiplicity 1)
2 Si 0.500 0.500 0.000 (multiplicity 1)
3 Pd 0.000 0.500 0.500 (multiplicity 2)
4 N 0.500 0.500 0.500 (multiplicity 1)

Output
ρ = 11.49 g cm⁻³
Raw formation energy = 55.2 kJ/mol of atoms
Electronic total energy = -7.333 eV/atom

This record from Alexandria via LeMat-Bulk describes crystalline PdRuN2 at its relaxed geometry. The functional is PBEsol.

abc: 2.8130 2.8130 19.0374
angles: 90.00 90.00 120.00
Space group R-3m (No. 166, hexagonal axes)
Unique sites:
1 Pd 0.0000 0.0000 0.0000 (multiplicity 3)
2 Ru 0.0000 0.0000 0.5000 (multiplicity 3)
3 N 0.0000 0.0000 0.1022 (multiplicity 6)

Output
ρ = 8.99 g cm⁻³
Raw formation energy = 34.1 kJ/mol of atoms
Electronic total energy = -7.943 eV/atom
Excess energy over the best structure of this formula in the dataset = 0.0 meV per atom

This record from Alexandria via LeMat-Bulk describes crystalline PdRuN2 at its relaxed geometry. The functional is PBEsol.

abc: 5.366 5.366 5.366
angles: 90.00 90.00 90.00
Space group Fm-3m (No. 225)
Unique sites:
1 Pd 0.000 0.000 0.000 (multiplicity 4)
2 Ru 0.000 0.000 0.500 (multiplicity 4)
3 N 0.250 0.250 0.250 (multiplicity 8)

Output
ρ = 10.12 g cm⁻³
Raw formation energy = 117.2 kJ/mol of atoms
Electronic total energy = -7.081 eV/atom
Excess energy over the best structure of this formula in the dataset = 861.5 meV per atom

This record from Alexandria via LeMat-Bulk describes crystalline Pd3RuN at its relaxed geometry. The functional is PBEsol.

abc: 4.700 4.700 4.700
angles: 90.00 90.00 90.00
Space group Pm-3m (No. 221)
Unique sites:
1 Pd 0.000 0.000 0.500 (multiplicity 3)
2 Ru 0.000 0.000 0.000 (multiplicity 1)
3 N 0.500 0.500 0.500 (multiplicity 1)

Output
ρ = 6.95 g cm⁻³
Raw formation energy = 228.6 kJ/mol of atoms
Electronic total energy = -4.946 eV/atom

Question: Which formula does entry 11 have?
Answer: PdRuN2